Crystalline SrErAl3SiN4O3 at its relaxed geometry. Source: the Alexandria database, functional PBE.

Cell and atoms, written as POSCAR:
```
SrErAl3SiN4O3
1.0
6.095 0.000 0.000
-3.048 5.279 0.000
0.000 0.000 10.123
Sr Er Al Si N O
2 2 6 2 8 6
Cartesian
0.000 3.519 0.000
3.048 1.760 5.061
0.000 3.519 3.896
3.048 1.760 8.957
0.000 1.745 6.943
-1.536 4.406 6.943
1.511 0.873 1.882
1.536 4.406 6.943
4.584 0.873 1.882
3.048 3.533 1.882
0.000 0.000 4.541
0.000 0.000 9.603
0.000 0.000 2.707
0.000 0.000 7.768
0.000 1.632 5.111
-1.634 4.462 5.111
1.414 0.816 0.050
1.634 4.462 5.111
4.681 0.816 0.050
3.048 3.646 0.050
-1.430 2.693 7.513
1.430 2.693 7.513
0.000 5.171 7.513
3.048 0.108 2.452
1.617 2.585 2.452
4.478 2.585 2.452
```

Output
**Total moment**: 0.000 μB/atom
**Uncorrected energy**: -7.552 eV/atom
**Space-group type**: P6_3mc, No. 186
**Calculated volume**: 12.526 Å³/atom
**ΔE_f (raw)**: -2.0852 eV per atom